(1)
Here is crystalline LiGaHIr2 at its relaxed geometry from Alexandria. Energies are from GGA-PBE.

Total magnetization ... 0.000 μB per atom
E ... -5.4648 eV/atom

abc: 3.955 3.955 3.636
angles: 90.00 90.00 90.00
Fractional coordinates of all 5 atoms:
Li 0.000 0.000 0.000
Ga 0.500 0.500 0.000
H 0.000 0.000 0.500
Ir 0.000 0.500 0.500
Ir 0.500 0.000 0.500

***

(2)
Here is crystalline Li2Sm2TmTl2 at its relaxed geometry from Alexandria. Energies are from GGA-PBE.

Total magnetization ... 0.000 μB per atom
E ... -3.3868 eV/atom

abc: 9.491 9.491 9.491
angles: 29.43 29.43 29.43
Fractional coordinates of all 7 atoms:
Li 0.110 0.110 0.110
Li 0.890 0.890 0.890
Sm 0.374 0.374 0.374
Sm 0.626 0.626 0.626
Tm 0.500 0.500 0.500
Tl 0.234 0.234 0.234
Tl 0.766 0.766 0.766

***

(3)
Here is crystalline Pm8NiTe4Se3 at its relaxed geometry from Alexandria. Energies are from GGA-PBE.

Total magnetization ... 0.000 μB per atom
E ... -5.6445 eV/atom

abc: 8.591 8.591 8.745
angles: 119.42 119.42 59.99
Fractional coordinates of all 16 atoms:
Pm 0.230 0.758 0.717
Pm 0.231 0.231 0.719
Pm 0.242 0.770 0.283
Pm 0.258 0.258 0.276
Pm 0.742 0.742 0.724
Pm 0.758 0.230 0.717
Pm 0.769 0.769 0.281
Pm 0.770 0.242 0.283
Ni 0.000 0.000 0.500
Te 0.000 0.000 0.000
Te 0.000 0.500 0.000
Te 0.500 0.000 0.000
Te 0.500 0.500 0.000
Se 0.000 0.500 0.500
Se 0.500 0.000 0.500
Se 0.500 0.500 0.500

***

(4)
Here is crystalline ZnAsBr2N at its relaxed geometry from Alexandria. Energies are from GGA-PBE.

Total magnetization ... 0.326 μB per atom
Energy above the most stable polymorph in this dataset ... 0.185 eV/atom

abc: 5.219 5.219 5.001
angles: 90.00 90.00 90.00
Fractional coordinates of all 5 atoms:
Zn 0.000 0.000 0.000
As 0.000 0.000 0.500
Br 0.000 0.500 0.000
Br 0.500 0.000 0.000
N 0.500 0.500 0.500

***

(5)
Here is crystalline BePdRh2 at its relaxed geometry from Alexandria. Energies are from GGA-PBE.

Total magnetization ... 0.000 μB per atom
E ... -5.6192 eV/atom

abc: 9.309 9.309 9.309
angles: 157.71 157.71 31.72
Fractional coordinates of all 8 atoms:
Be 0.000 0.000 0.000
Be 0.750 0.250 0.500
Pd 0.250 0.750 0.500
Pd 0.500 0.500 0.000
Rh 0.112 0.625 0.987
Rh 0.375 0.362 0.487
Rh 0.638 0.125 0.013
Rh 0.875 0.888 0.513

***

(6)
Here is crystalline Sm2Al4CuIr3 at its relaxed geometry from Alexandria. Energies are from GGA-PBE.

Total magnetization ... 0.000 μB per atom
E ... -6.2614 eV/atom

abc: 4.196 4.196 10.458
angles: 90.00 90.00 90.00
Fractional coordinates of all 10 atoms:
Sm 0.000 0.500 0.247
Sm 0.500 0.000 0.753
Al 0.000 0.000 0.500
Al 0.000 0.500 0.876
Al 0.500 0.000 0.124
Al 0.500 0.500 0.500
Cu 0.500 0.500 0.000
Ir 0.000 0.000 0.000
Ir 0.000 0.500 0.636
Ir 0.500 0.000 0.364

***

(7)
Here is crystalline SiBBr2 at its relaxed geometry from Alexandria. Energies are from GGA-PBE.

Total magnetization ... 0.000 μB per atom
Energy above the most stable polymorph in this dataset ... 0.000 eV/atom

abc: 10.026 10.026 10.026
angles: 19.27 19.27 19.27
Fractional coordinates of all 4 atoms:
Si 0.000 0.000 0.000
B 0.500 0.500 0.500
Br 0.438 0.438 0.438
Br 0.562 0.562 0.562

***

(8)
Here is crystalline FeMoCl at its relaxed geometry from Alexandria. Energies are from GGA-PBE.

Total magnetization ... 0.643 μB per atom
Energy above the most stable polymorph in this dataset ... 0.362 eV/atom

abc: 4.200 4.200 2.860
angles: 90.00 90.00 120.00
Fractional coordinates of all 3 atoms:
Fe 0.000 0.000 0.000
Mo 0.667 0.333 0.500
Cl 0.333 0.667 0.500

***

(9)
Here is crystalline ErThMgPd at its relaxed geometry from Alexandria. Energies are from GGA-PBE.

Total magnetization ... 0.000 μB per atom
E ... -4.9593 eV/atom

abc: 5.195 5.195 5.195
angles: 60.00 60.00 60.00
Fractional coordinates of all 4 atoms:
Er 0.000 0.000 0.000
Th 0.500 0.500 0.500
Mg 0.250 0.250 0.250
Pd 0.750 0.750 0.750

***

(10)
Here is crystalline Pu3UTa2N6 at its relaxed geometry from Alexandria. Energies are from GGA-PBE.

Total magnetization ... 1.268 μB per atom
E ... -11.9422 eV/atom

abc: 5.733 5.733 5.867
angles: 99.36 99.36 119.98
Fractional coordinates of all 12 atoms:
Pu 0.000 0.000 0.000
Pu 0.333 0.667 0.000
Pu 0.667 0.333 0.000
U 0.500 0.500 0.500
Ta 0.166 0.834 0.500
Ta 0.834 0.166 0.500
N 0.084 0.428 0.283
N 0.229 0.229 0.715
N 0.428 0.084 0.283
N 0.572 0.916 0.717
N 0.771 0.771 0.285
N 0.916 0.572 0.717

***

(11)
Here is crystalline PrErIn6 at its relaxed geometry from Alexandria. Energies are from GGA-PBE.

Total magnetization ... 0.000 μB per atom
Energy above the most stable polymorph in this dataset ... 0.000 eV/atom

abc: 4.682 4.682 9.351
angles: 90.00 90.00 90.00
Fractional coordinates of all 8 atoms:
Pr 0.000 0.000 0.000
Er 0.000 0.000 0.500
In 0.000 0.500 0.256
In 0.000 0.500 0.744
In 0.500 0.000 0.256
In 0.500 0.000 0.744
In 0.500 0.500 0.000
In 0.500 0.500 0.500

***

(12)
Here is crystalline Pm2AsSe at its relaxed geometry from Alexandria. Energies are from GGA-PBE.

Total magnetization ... 0.000 μB per atom
Energy above the most stable polymorph in this dataset ... 0.001 eV/atom

abc: 7.348 7.348 7.348
angles: 33.32 33.32 33.32
Fractional coordinates of all 4 atoms:
Pm 0.246 0.246 0.246
Pm 0.754 0.754 0.754
As 0.500 0.500 0.500
Se 0.000 0.000 0.000

***

(13)
Here is crystalline CsKAuI at its relaxed geometry from Alexandria. Energies are from GGA-PBE.

Total magnetization ... 0.000 μB per atom
Energy above the most stable polymorph in this dataset ... 0.000 eV/atom

abc: 9.337 9.337 9.337
angles: 31.28 31.28 31.28
Fractional coordinates of all 4 atoms:
Cs 0.000 0.000 0.000
K 0.162 0.162 0.162
Au 0.753 0.753 0.753
I 0.572 0.572 0.572